(1)
The following is a GGA-PBE calculation of a geometry-optimized PmGdTmPb structure, from Alexandria.

a = 5.528 Å, b = 5.528 Å, c = 5.528 Å
α = 60.00°, β = 60.00°, γ = 60.00°
Fractional positions:
Pm (0.000, 0.000, 0.000)
Gd (0.500, 0.500, 0.500)
Tm (0.750, 0.750, 0.750)
Pb (0.250, 0.250, 0.250)

- total energy (Ry per atom) = -0.5074
- DFT formation energy (eV per atom) = -0.150
- D(E_F) (states/eV/atom) = 1.111



(2)
The following is a GGA-PBE calculation of a geometry-optimized ZrTiPd3 structure, from Alexandria.

a = 7.420 Å, b = 7.163 Å, c = 6.745 Å
α = 90.00°, β = 90.00°, γ = 90.00°
Fractional positions:
Zr (0.156, 0.250, 0.082)
Zr (0.344, 0.750, 0.582)
Zr (0.656, 0.250, 0.418)
Zr (0.844, 0.750, 0.918)
Ti (0.000, 0.000, 0.500)
Ti (0.000, 0.500, 0.500)
Ti (0.500, 0.000, 0.000)
Ti (0.500, 0.500, 0.000)
Pd (0.125, 0.750, 0.229)
Pd (0.153, 0.555, 0.849)
Pd (0.153, 0.945, 0.849)
Pd (0.347, 0.055, 0.349)
Pd (0.347, 0.445, 0.349)
Pd (0.375, 0.250, 0.729)
Pd (0.625, 0.750, 0.271)
Pd (0.653, 0.555, 0.651)
Pd (0.653, 0.945, 0.651)
Pd (0.847, 0.055, 0.151)
Pd (0.847, 0.445, 0.151)
Pd (0.875, 0.250, 0.771)

- total energy (Ry per atom) = -0.5008
- DFT formation energy (eV per atom) = -0.409
- polymorph energy (0 for the lowest one) (meV/atom) = 20
- D(E_F) (states/eV/atom) = 0.704



What is the formula in the first record? PmGdTmPb



What is the formula in the first record? PmGdTmPb



Which of these has the lowest D(E_F)? ZrTiPd3